SiSb2PbI: optimized geometry, GGA-PBE.

For the formation energy from raw total energies, the calculation gives 432 meV/atom. As for the energy above the lowest structure with this stoichiometry: 0.0 meV per atom. The value obtained for the density of states at the Fermi level is 3.816 states/eV per cell.

It has space group P4/mmm (No. 123), with a = 5.329 Å, b = 5.329 Å, c = 5.534 Å, α = 90.00°, β = 90.00° and γ = 90.00°. The distinct sites, in fractional coordinates, are Si at (0.000, 0.000, 0.000), Sb at (0.000, 0.500, 0.000), Pb at (0.500, 0.500, 0.500) and I at (0.000, 0.000, 0.500).